(1)
BeZn2HgI after structural relaxation, computed with PBE-GGA.

Results
Formation energy without anion corrections in eV per atom: 0.81
Magnetization in μB per atom: 0.0000
Calculated density in g/cm3: 2.4
Energy relative to the lowest polymorph listed for this composition in meV per atom: 557

Cell: 8.002 4.955 8.002 Å, 90.00 90.00 90.00°
Sites, in units of the cell vectors:
Be: 0.000 0.500 0.000
I: 0.000 0.000 0.000
Zn: 0.000 0.000 0.500
Zn: 0.500 0.000 0.000
Hg: 0.500 0.500 0.500

(2)
SnIrC2N after structural relaxation, computed with PBE-GGA.

Results
Formation energy without anion corrections in eV per atom: 1.68
Magnetization in μB per atom: 0.0000
Calculated density in g/cm3: 8.1

Cell: 3.839 4.850 3.839 Å, 90.00 90.00 90.00°
Sites, in units of the cell vectors:
N: 0.000 0.500 0.000
C: 0.500 0.000 0.000
C: 0.000 0.000 0.500
Sn: 0.500 0.500 0.500
Ir: 0.000 0.000 0.000

(3)
ReP2NF after structural relaxation, computed with PBE-GGA.

Results
Formation energy without anion corrections in eV per atom: 0.89
Magnetization in μB per atom: 0.3096
Calculated density in g/cm3: 5.5

Cell: 4.579 4.079 4.579 Å, 90.00 90.00 90.00°
Each line ends with the local moment (μB).
Sites, in units of the cell vectors:
P: 0.000 0.000 0.500  -0.16
P: 0.500 0.000 0.000  -0.09
F: 0.000 0.500 0.000  0.01
Re: 0.000 0.000 0.000  0.13
N: 0.500 0.500 0.500  1.32

(4)
UPaNi10 after structural relaxation, computed with PBE-GGA.

Results
Magnetization in μB per atom: 0.0012
Calculated density in g/cm3: 10.9

Cell: 3.981 4.820 8.351 Å, 90.00 90.00 90.00°
Each line ends with the local moment (μB).
Sites, in units of the cell vectors:
Pa: 0.000 0.500 0.500  -0.17
Ni: 0.500 0.249 0.751  0.18
Ni: 0.000 0.500 0.165  0.17
Ni: 0.500 0.751 0.249  0.18
Ni: 0.000 0.000 0.332  0.12
Ni: 0.500 0.751 0.751  0.18
Ni: 0.000 0.500 0.835  0.17
Ni: 0.500 0.000 0.500  0.16
Ni: 0.000 0.000 0.668  0.12
Ni: 0.500 0.500 0.000  0.21
Ni: 0.500 0.249 0.249  0.18
U: 0.000 0.000 0.000  -1.23

(5)
NiP2Se after structural relaxation, computed with PBE-GGA.

Results
Formation energy without anion corrections in eV per atom: -0.02
Magnetization in μB per atom: 0.0000
Calculated density in g/cm3: 5.5

Cell: 3.333 4.424 4.525 Å, 65.69 90.00 90.00°
Sites, in units of the cell vectors:
Se: 0.500 0.250 0.250
Ni: 0.500 0.750 0.750
P: 0.000 0.513 0.558
P: 0.000 0.987 0.942

(6)
Pm2Dy5In after structural relaxation, computed with PBE-GGA.

Results
Magnetization in μB per atom: 0.0001
Calculated density in g/cm3: 8.2
Energy relative to the lowest polymorph listed for this composition in meV per atom: 0

Cell: 4.917 4.917 10.739 Å, 103.23 103.23 90.00°
Sites, in units of the cell vectors:
In: 0.000 0.000 0.000
Pm: 0.745 0.745 0.490
Pm: 0.255 0.255 0.510
Dy: 0.881 0.381 0.761
Dy: 0.119 0.619 0.239
Dy: 0.500 0.500 0.000
Dy: 0.381 0.881 0.761
Dy: 0.619 0.119 0.239

(7)
HgSbPt2 after structural relaxation, computed with PBE-GGA.

Results
Formation energy without anion corrections in eV per atom: -0.02
Magnetization in μB per atom: 0.0000
Calculated density in g/cm3: 13.1

Cell: 6.664 6.664 6.664 Å, 35.68 35.68 35.68°
Sites, in units of the cell vectors:
Pt: 0.254 0.254 0.254
Pt: 0.988 0.988 0.988
Sb: 0.523 0.523 0.523
Hg: 0.735 0.735 0.735

(8)
Hg7P6 after structural relaxation, computed with PBE-GGA.

Results
Magnetization in μB per atom: 0.0000
Calculated density in g/cm3: 7.3

Cell: 9.315 9.315 9.315 Å, 44.62 44.62 44.62°
Sites, in units of the cell vectors:
Hg: 0.424 0.926 0.424
Hg: 0.424 0.424 0.926
Hg: 0.576 0.074 0.576
Hg: 0.926 0.424 0.424
Hg: 0.074 0.576 0.576
Hg: 0.500 0.500 0.500
Hg: 0.576 0.576 0.074
P: 0.885 0.885 0.885
P: 0.803 0.803 0.803
P: 0.115 0.115 0.115
P: 0.650 0.650 0.650
P: 0.197 0.197 0.197
P: 0.350 0.350 0.350

(9)
Cs2NbI5Br after structural relaxation, computed with PBE-GGA.

Results
Formation energy without anion corrections in eV per atom: -1.02
Magnetization in μB per atom: 0.1111
Calculated density in g/cm3: 4.4

Cell: 8.262 8.262 8.262 Å, 91.62 119.07 119.07°
Each line ends with the local moment (μB).
Sites, in units of the cell vectors:
Cs: 0.500 0.249 0.749  0.00
Cs: 0.500 0.749 0.249  0.00
I: 0.000 0.238 0.759  -0.01
I: 0.000 0.241 0.241  -0.01
I: 0.479 0.238 0.238  -0.01
I: 0.521 0.759 0.759  -0.01
I: 0.000 0.759 0.238  -0.01
Br: 0.000 0.772 0.772  -0.01
Nb: 0.000 0.996 0.996  0.89

(10)
Hf7Sn2Au2 after structural relaxation, computed with PBE-GGA.

Results
Magnetization in μB per atom: 0.0000
Calculated density in g/cm3: 12.3

Cell: 5.755 6.847 6.847 Å, 109.40 91.46 91.46°
Sites, in units of the cell vectors:
Hf: 0.122 0.677 0.677
Hf: 0.739 0.928 0.472
Hf: 0.261 0.072 0.528
Hf: 0.739 0.472 0.928
Hf: 0.878 0.323 0.323
Hf: 0.500 0.000 0.000
Hf: 0.261 0.528 0.072
Au: 0.603 0.659 0.659
Au: 0.397 0.341 0.341
Sn: 0.000 0.124 0.876
Sn: 0.000 0.876 0.124

(11)
In2GaTeAu after structural relaxation, computed with PBE-GGA.

Results
Formation energy without anion corrections in eV per atom: -0.10
Magnetization in μB per atom: 0.0000
Calculated density in g/cm3: 7.2

Cell: 5.368 5.368 4.994 Å, 90.00 90.00 90.00°
Sites, in units of the cell vectors:
Ga: 0.000 0.000 0.500
In: 0.000 0.500 0.000
In: 0.500 0.000 0.000
Au: 0.000 0.000 0.000
Te: 0.500 0.500 0.500

(12)
ScSiCl after structural relaxation, computed with PBE-GGA.

Results
Formation energy without anion corrections in eV per atom: -0.40
Magnetization in μB per atom: 0.1123
Calculated density in g/cm3: 3.2

Cell: 4.504 4.504 3.250 Å, 90.00 90.00 120.00°
Each line ends with the local moment (μB).
Sites, in units of the cell vectors:
Cl: 0.000 0.000 0.167  0.02
Si: 0.333 0.667 0.666  0.06
Sc: 0.667 0.333 0.167  0.08

Number 1: raw total energy -0.8174 eV per atom. Number 2: raw total energy -6.2430 eV per atom. Number 3: raw total energy -5.8024 eV per atom. Number 4: raw total energy -6.8537 eV per atom. Number 5: raw total energy -5.0376 eV per atom. Number 6: raw total energy -4.5125 eV per atom. Number 7: raw total energy -4.1489 eV per atom. Number 8: raw total energy -2.3122 eV per atom. Number 9: raw total energy -3.3793 eV per atom. Number 10: raw total energy -7.6193 eV per atom. Number 11: raw total energy -3.0818 eV per atom. Number 12: raw total energy -4.9357 eV per atom.